TaMn2Co2 | GGA-PBE | relaxed

Calculated values
DFT formation energy (kJ/mol of atoms): 8.7
Relative energy among the computed polymorphs (meV per atom): 0
Space-group type: P4/mbm
Mass density (Mg/m³): 11.14
Total magnetic moment (μB/cell): 3.698

CIF file:
```
data_TaMn2Co2
_cell_length_a 6.8760
_cell_length_b 6.8760
_cell_length_c 2.5780
_cell_angle_alpha 90.00
_cell_angle_beta 90.00
_cell_angle_gamma 90.00
_symmetry_space_group_name_H-M 'P 1'
_symmetry_Int_Tables_number 1
loop_
_symmetry_equiv_pos_as_xyz
'x,y,z'
loop_
_atom_site_label
_atom_site_type_symbol
_atom_site_fract_x
_atom_site_fract_y
_atom_site_fract_z
Co1 Co 0.6231 0.1231 0.0000
Ta1 Ta 0.0000 0.0000 0.0000
Co2 Co 0.1231 0.3769 0.0000
Mn1 Mn 0.3285 0.1715 0.5000
Co3 Co 0.3769 0.8769 0.0000
Mn2 Mn 0.8285 0.3285 0.5000
Mn3 Mn 0.1715 0.6715 0.5000
Mn4 Mn 0.6715 0.8285 0.5000
Co4 Co 0.8769 0.6231 0.0000
Ta2 Ta 0.5000 0.5000 0.0000
```


TaMn2Co | GGA-PBE | relaxed

Calculated values
DFT formation energy (kJ/mol of atoms): 5.4
Relative energy among the computed polymorphs (meV per atom): 120
Space-group type: I4/mmm
Mass density (Mg/m³): 10.86
Total magnetic moment (μB/cell): 5.654

CIF file:
```
data_TaMn2Co
_cell_length_a 4.7976
_cell_length_b 4.7976
_cell_length_c 4.7976
_cell_angle_alpha 135.50
_cell_angle_beta 135.50
_cell_angle_gamma 64.76
_symmetry_space_group_name_H-M 'P 1'
_symmetry_Int_Tables_number 1
loop_
_symmetry_equiv_pos_as_xyz
'x,y,z'
loop_
_atom_site_label
_atom_site_type_symbol
_atom_site_fract_x
_atom_site_fract_y
_atom_site_fract_z
Co1 Co 0.7500 0.2500 0.5000
Mn1 Mn 0.5000 0.5000 0.0000
Mn2 Mn 0.0000 0.0000 0.0000
Ta1 Ta 0.2500 0.7500 0.5000
```


TaMn2Co | GGA-PBE | relaxed

Calculated values
DFT formation energy (kJ/mol of atoms): 24.5
Relative energy among the computed polymorphs (meV per atom): 318
Space-group type: R3m
Mass density (Mg/m³): 10.71
Total magnetic moment (μB/cell): 1.675

CIF file:
```
data_TaMn2Co
_cell_length_a 8.5872
_cell_length_b 8.5872
_cell_length_c 8.5872
_cell_angle_alpha 18.25
_cell_angle_beta 18.25
_cell_angle_gamma 18.25
_symmetry_space_group_name_H-M 'P 1'
_symmetry_Int_Tables_number 1
loop_
_symmetry_equiv_pos_as_xyz
'x,y,z'
loop_
_atom_site_label
_atom_site_type_symbol
_atom_site_fract_x
_atom_site_fract_y
_atom_site_fract_z
Ta1 Ta 0.4980 0.4980 0.4980
Mn1 Mn 0.0001 0.0001 0.0001
Co1 Co 0.7436 0.7436 0.7436
Mn2 Mn 0.2584 0.2584 0.2584
```


Ta2MnCo | GGA-PBE | relaxed

Calculated values
DFT formation energy (kJ/mol of atoms): -1.0
Relative energy among the computed polymorphs (meV per atom): 159
Space-group type: Imm2
Mass density (Mg/m³): 13.49
Total magnetic moment (μB/cell): 1.371

CIF file:
```
data_Ta2MnCo
_cell_length_a 5.1616
_cell_length_b 5.1616
_cell_length_c 4.2302
_cell_angle_alpha 65.79
_cell_angle_beta 65.79
_cell_angle_gamma 35.13
_symmetry_space_group_name_H-M 'P 1'
_symmetry_Int_Tables_number 1
loop_
_symmetry_equiv_pos_as_xyz
'x,y,z'
loop_
_atom_site_label
_atom_site_type_symbol
_atom_site_fract_x
_atom_site_fract_y
_atom_site_fract_z
Ta1 Ta 0.7523 0.7523 0.7476
Co1 Co 0.5017 0.5017 0.4984
Mn1 Mn 0.2564 0.2564 0.2435
Ta2 Ta 0.9896 0.9896 0.0105
```


TaMn2Co | GGA-PBE | relaxed

Calculated values
DFT formation energy (kJ/mol of atoms): 42.1
Relative energy among the computed polymorphs (meV per atom): 501
Space-group type: I-42d
Mass density (Mg/m³): 10.18
Total magnetic moment (μB/cell): 11.621

CIF file:
```
data_TaMn2Co
_cell_length_a 6.6748
_cell_length_b 6.6748
_cell_length_c 5.3701
_cell_angle_alpha 51.58
_cell_angle_beta 51.58
_cell_angle_gamma 90.00
_symmetry_space_group_name_H-M 'P 1'
_symmetry_Int_Tables_number 1
loop_
_symmetry_equiv_pos_as_xyz
'x,y,z'
loop_
_atom_site_label
_atom_site_type_symbol
_atom_site_fract_x
_atom_site_fract_y
_atom_site_fract_z
Ta1 Ta 0.7500 0.2500 0.5000
Mn1 Mn 0.1547 0.6250 0.2500
Mn2 Mn 0.5953 0.1250 0.2500
Ta2 Ta 0.0000 0.0000 0.0000
Co1 Co 0.2500 0.7500 0.5000
Mn3 Mn 0.8750 0.8453 0.7500
Co2 Co 0.5000 0.5000 0.0000
Mn4 Mn 0.3750 0.4047 0.7500
```


Ta2MnCo | GGA-PBE | relaxed

Calculated values
DFT formation energy (kJ/mol of atoms): 6.0
Relative energy among the computed polymorphs (meV per atom): 231
Space-group type: F-43m
Mass density (Mg/m³): 13.47
Total magnetic moment (μB/cell): 1.939

CIF file:
```
data_Ta2MnCo
_cell_length_a 4.3614
_cell_length_b 4.3614
_cell_length_c 4.3614
_cell_angle_alpha 60.00
_cell_angle_beta 60.00
_cell_angle_gamma 60.00
_symmetry_space_group_name_H-M 'P 1'
_symmetry_Int_Tables_number 1
loop_
_symmetry_equiv_pos_as_xyz
'x,y,z'
loop_
_atom_site_label
_atom_site_type_symbol
_atom_site_fract_x
_atom_site_fract_y
_atom_site_fract_z
Ta1 Ta 0.0000 0.0000 0.0000
Ta2 Ta 0.7500 0.7500 0.7500
Co1 Co 0.5000 0.5000 0.5000
Mn1 Mn 0.2500 0.2500 0.2500
```


Ta3MnCo | GGA-PBE | relaxed

Calculated values
DFT formation energy (kJ/mol of atoms): 106.5
Relative energy among the computed polymorphs (meV per atom): 7
Space-group type: Pm-3m
Mass density (Mg/m³): 11.83
Total magnetic moment (μB/cell): 0.000

CIF file:
```
data_Ta3MnCo
_cell_length_a 4.5172
_cell_length_b 4.5172
_cell_length_c 4.5172
_cell_angle_alpha 90.00
_cell_angle_beta 90.00
_cell_angle_gamma 90.00
_symmetry_space_group_name_H-M 'P 1'
_symmetry_Int_Tables_number 1
loop_
_symmetry_equiv_pos_as_xyz
'x,y,z'
loop_
_atom_site_label
_atom_site_type_symbol
_atom_site_fract_x
_atom_site_fract_y
_atom_site_fract_z
Ta1 Ta 0.5000 0.0000 0.0000
Co1 Co 0.0000 0.0000 0.0000
Ta2 Ta 0.0000 0.0000 0.5000
Ta3 Ta 0.0000 0.5000 0.0000
Mn1 Mn 0.5000 0.5000 0.5000
```


TaMn2Co | GGA-PBE | relaxed

Calculated values
DFT formation energy (kJ/mol of atoms): 27.5
Relative energy among the computed polymorphs (meV per atom): 349
Space-group type: R-3m
Mass density (Mg/m³): 10.42
Total magnetic moment (μB/cell): 6.601

CIF file:
```
data_TaMn2Co
_cell_length_a 8.5613
_cell_length_b 8.5613
_cell_length_c 8.5613
_cell_angle_alpha 18.60
_cell_angle_beta 18.60
_cell_angle_gamma 18.60
_symmetry_space_group_name_H-M 'P 1'
_symmetry_Int_Tables_number 1
loop_
_symmetry_equiv_pos_as_xyz
'x,y,z'
loop_
_atom_site_label
_atom_site_type_symbol
_atom_site_fract_x
_atom_site_fract_y
_atom_site_fract_z
Mn1 Mn 0.4929 0.4929 0.4929
Mn2 Mn 0.0071 0.0071 0.0071
Ta1 Ta 0.2500 0.2500 0.2500
Co1 Co 0.7500 0.7500 0.7500
```